1.
Ag4Sn2Se5 GGA-PBE relaxed; volume = 286 Å³/f.u.; total DFT energy (no corrections) = -3.5026 eV per atom; Fermi-level density of states = 5.548 states/eV/f.u.; mass density = 6.185 Mg/m³
1.0
-1.099 0.291 -4.083
1.650 -2.684 -2.835
-13.721 -12.425 0.609
Ag Sn Se
4 2 5
Direct
0.685 0.685 0.945
0.586 0.586 0.243
0.414 0.414 0.757
0.315 0.315 0.055
0.134 0.134 0.597
0.866 0.866 0.403
0.770 0.770 0.689
0.633 0.633 0.102
0.500 0.500 0.500
0.367 0.367 0.898
0.230 0.230 0.311

---

2.
ThCu2Sn2 GGA-PBE relaxed; volume = 108 Å³/f.u.; Fermi-level density of states = 0.971 states/eV/f.u.; mass density = 9.182 Mg/m³; calculated formation energy = -0.31 eV per atom
1.0
-1.859 2.497 5.097
-5.780 2.702 0.067
-3.615 -4.202 4.605
Th Cu Sn
2 4 4
Direct
0.900 0.699 0.250
0.100 0.301 0.750
0.541 0.676 0.056
0.717 0.324 0.556
0.459 0.324 0.944
0.283 0.676 0.444
0.616 0.268 0.250
0.802 0.897 0.750
0.198 0.103 0.250
0.384 0.732 0.750

---

3.
HAuBrO2 GGA-PBE relaxed; volume = 65 Å³/f.u.; total DFT energy (no corrections) = -2.9286 eV per atom; Fermi-level density of states = 4.216 states/eV/f.u.; mass density = 7.964 Mg/m³
1.0
-2.369 -2.484 2.540
-0.271 -2.396 -2.595
3.538 -1.930 1.412
H Au O Br
1 1 2 1
Direct
0.000 0.500 0.000
0.000 0.000 0.000
0.000 0.000 0.500
0.500 0.000 0.000
0.500 0.500 0.500

---

4.
MgTl2Cd2 GGA-PBE relaxed; excess energy over the best structure of this formula in the dataset = 47.8 meV/atom; volume = 137 Å³/f.u.; Fermi-level density of states = 1.644 states/eV/f.u.; mass density = 7.973 Mg/m³; calculated formation energy = 0.06 eV per atom
1.0
-5.423 4.973 -2.207
2.024 -1.049 -7.336
-3.053 -3.482 -0.344
Tl Mg Cd
4 2 4
Direct
0.170 0.670 0.500
0.670 0.830 0.500
0.830 0.330 0.500
0.330 0.170 0.500
0.000 0.000 0.000
0.500 0.500 0.000
0.363 0.863 0.000
0.863 0.637 0.000
0.637 0.137 0.000
0.137 0.363 0.000

---

5.
InNi2Rh GGA-PBE relaxed; volume = 56 Å³/f.u.; Fermi-level density of states = 4.280 states/eV/f.u.; mass density = 9.869 Mg/m³; calculated formation energy = -0.05 eV per atom
1.0
-2.587 1.626 0.590
-1.639 -2.643 0.098
1.034 -0.429 5.715
In Ni Rh
1 2 1
Direct
0.500 0.500 0.763
0.000 0.000 0.030
0.500 0.500 0.236
0.000 0.000 0.472

---

6.
KTaHg GGA-PBE relaxed; excess energy over the best structure of this formula in the dataset = 1762.7 meV/atom; volume = 113 Å³/f.u.; Fermi-level density of states = 7.247 states/eV/f.u.; mass density = 6.193 Mg/m³; calculated formation energy = 2.05 eV per atom
1.0
5.423 0.000 0.000
2.712 4.697 0.000
2.712 1.566 4.428
Hg K Ta
1 1 1
Direct
0.500 0.500 0.500
0.750 0.750 0.750
0.000 0.000 0.000